Record 1
Material: TlCr2PdPb
Method: DFT, PBE-GGA
State: relaxed

Output
ΔE_f = 749.8 meV/atom
crystal system = tetragonal
uncorrected energy = -5.3531 eV/atom

Cell lengths 5.017, 5.017, 5.126 Å; angles 90.00, 90.00, 90.00 degrees
Space group P4/mmm (No. 123)
One atom of each set of equivalent atoms:
Tl 0.000 0.000 0.000 x1
Cr 0.000 0.500 0.500 x2
Pd 0.000 0.000 0.500 x1
Pb 0.500 0.500 0.000 x1



Record 2
Material: Y2CrPdPb
Method: DFT, PBE-GGA
State: relaxed

Output
ΔE_f = 13.6 meV/atom
crystal system = tetragonal
uncorrected energy = -6.2769 eV/atom

Cell lengths 5.340, 5.340, 4.958 Å; angles 90.00, 90.00, 90.00 degrees
Space group P4/mmm (No. 123)
One atom of each set of equivalent atoms:
Y 0.000 0.500 0.000 x2
Cr 0.000 0.000 0.500 x1
Pd 0.000 0.000 0.000 x1
Pb 0.500 0.500 0.500 x1



Record 3
Material: ZnCr2PdPb
Method: DFT, PBE-GGA
State: relaxed

Output
ΔE_f = 745.3 meV/atom
crystal system = tetragonal
uncorrected energy = -5.1391 eV/atom

Cell lengths 4.784, 4.784, 4.677 Å; angles 90.00, 90.00, 90.00 degrees
Space group P4/mmm (No. 123)
One atom of each set of equivalent atoms:
Zn 0.000 0.000 0.000 x1
Cr 0.000 0.500 0.000 x2
Pd 0.000 0.000 0.500 x1
Pb 0.500 0.500 0.500 x1



Record 4
Material: CrPtPb2
Method: DFT, PBE-GGA
State: relaxed

Output
ΔE_f = 220.4 meV/atom
crystal system = orthorhombic
uncorrected energy = -5.5498 eV/atom

Cell lengths 3.525, 4.735, 10.710 Å; angles 90.00, 90.00, 90.00 degrees
Space group Imm2 (No. 44)
One atom of each set of equivalent atoms:
Cr 0.000 0.000 0.000 x2
Pt 0.000 0.500 0.685 x2
Pb 0.000 0.000 0.438 x2
Pb 0.000 0.500 0.223 x2



Record 5
Material: CrPt2Pb
Method: DFT, PBE-GGA
State: relaxed

Output
ΔE_f = -55.7 meV/atom
crystal system = tetragonal
uncorrected energy = -6.4090 eV/atom

Cell lengths 3.227, 3.227, 6.979 Å; angles 90.00, 90.00, 90.00 degrees
Space group P4/mmm (No. 123)
One atom of each set of equivalent atoms:
Cr 0.000 0.000 0.000 x1
Pt 0.500 0.500 0.199 x2
Pb 0.000 0.000 0.500 x1



Record 6
Material: CrPtPb2
Method: DFT, PBE-GGA
State: relaxed

Output
ΔE_f = 152.2 meV/atom
crystal system = monoclinic
uncorrected energy = -5.6180 eV/atom

Cell lengths 3.958, 4.100, 5.835 Å; angles 90.00, 109.73, 90.00 degrees
Space group Pm (No. 6)
One atom of each set of equivalent atoms:
Cr 0.000 0.000 0.000 x1
Pt 0.852 0.500 0.702 x1
Pb 0.277 0.000 0.552 x1
Pb 0.575 0.500 0.150 x1



Record 7
Material: CrPtPb2
Method: DFT, PBE-GGA
State: relaxed

Output
ΔE_f = 358.8 meV/atom
crystal system = trigonal
uncorrected energy = -5.4115 eV/atom

Cell lengths 3.5665, 3.5665, 25.3166 Å; angles 90.00, 90.00, 120.00 degrees
Space group R-3m (No. 166, hexagonal axes)
One atom of each set of equivalent atoms:
Cr 0.0000 0.0000 0.0000 x3
Pt 0.0000 0.0000 0.5000 x3
Pb 0.0000 0.0000 0.2437 x6



Record 8
Material: CrPtPb2
Method: DFT, PBE-GGA
State: relaxed

Output
ΔE_f = 304.1 meV/atom
crystal system = monoclinic
uncorrected energy = -5.4661 eV/atom

Cell lengths 3.519, 3.518, 7.144 Å; angles 90.00, 90.89, 90.00 degrees
Space group P2/m (No. 10)
One atom of each set of equivalent atoms:
Cr 0.000 0.000 0.000 x1
Pt 0.000 0.000 0.500 x1
Pb 0.499 0.500 0.265 x2



Record 9
Material: Cr2Pt2Pb
Method: DFT, PBE-GGA
State: relaxed

Output
ΔE_f = 77.1 meV/atom
crystal system = tetragonal
uncorrected energy = -6.9303 eV/atom

Cell lengths 7.661, 7.661, 2.964 Å; angles 90.00, 90.00, 90.00 degrees
Space group P4/mbm (No. 127)
One atom of each set of equivalent atoms:
Cr 0.163 0.337 0.000 x4
Pt 0.131 0.631 0.500 x4
Pb 0.000 0.000 0.500 x2



Record 10
Material: CrPt2Pb
Method: DFT, PBE-GGA
State: relaxed

Output
ΔE_f = 142.1 meV/atom
crystal system = trigonal
uncorrected energy = -6.2113 eV/atom

Cell lengths 3.0364, 3.0364, 27.7014 Å; angles 90.00, 90.00, 120.00 degrees
Space group R-3m (No. 166, hexagonal axes)
One atom of each set of equivalent atoms:
Cr 0.0000 0.0000 0.0000 x3
Pt 0.0000 0.0000 0.2626 x6
Pb 0.0000 0.0000 0.5000 x3



Record 11
Material: CrPtPb2
Method: DFT, PBE-GGA
State: relaxed

Output
ΔE_f = 118.1 meV/atom
crystal system = trigonal
uncorrected energy = -5.6521 eV/atom

Cell lengths 4.4029, 4.4029, 17.3315 Å; angles 90.00, 90.00, 120.00 degrees
Space group R3m (No. 160, hexagonal axes)
One atom of each set of equivalent atoms:
Cr 0.0000 0.0000 0.0000 x3
Pt 0.0000 0.0000 0.6587 x3
Pb 0.0000 0.0000 0.2306 x3
Pb 0.0000 0.0000 0.4266 x3



Record 12
Material: CrPt2Pb
Method: DFT, PBE-GGA
State: relaxed

Output
ΔE_f = 89.9 meV/atom
crystal system = tetragonal
uncorrected energy = -6.2634 eV/atom

Cell lengths 3.516, 3.516, 5.907 Å; angles 90.00, 90.00, 90.00 degrees
Space group P4mm (No. 99)
One atom of each set of equivalent atoms:
Cr 0.000 0.000 0.000 x1
Pt 0.000 0.000 0.562 x1
Pt 0.500 0.500 0.834 x1
Pb 0.500 0.500 0.323 x1



Record 13
Material: CrPt3Pb
Method: DFT, PBE-GGA
State: relaxed

Output
ΔE_f = 580.3 meV/atom
crystal system = cubic
uncorrected energy = -5.7105 eV/atom

Cell lengths 4.696, 4.696, 4.696 Å; angles 90.00, 90.00, 90.00 degrees
Space group Pm-3m (No. 221)
One atom of each set of equivalent atoms:
Cr 0.000 0.000 0.000 x1
Pt 0.000 0.000 0.500 x3
Pb 0.500 0.500 0.500 x1



Record 14
Material: CrPtPb2
Method: DFT, PBE-GGA
State: relaxed

Output
ΔE_f = 267.8 meV/atom
crystal system = cubic
uncorrected energy = -5.5024 eV/atom

Cell lengths 7.014, 7.014, 7.014 Å; angles 90.00, 90.00, 90.00 degrees
Space group Fm-3m (No. 225)
One atom of each set of equivalent atoms:
Cr 0.000 0.000 0.000 x4
Pt 0.000 0.000 0.500 x4
Pb 0.250 0.250 0.250 x8



Record 15
Material: CrPtPb2
Method: DFT, PBE-GGA
State: relaxed

Output
ΔE_f = 277.9 meV/atom
crystal system = monoclinic
uncorrected energy = -5.4923 eV/atom

Cell lengths 6.724, 6.725, 3.811 Å; angles 90.00, 90.27, 90.00 degrees
Space group C2/m (No. 12)
One atom of each set of equivalent atoms:
Cr 0.000 0.000 0.000 x2
Pt 0.000 0.500 0.000 x2
Pb 0.250 0.250 0.500 x4



Record 16
Material: CrPtPb2
Method: DFT, PBE-GGA
State: relaxed

Output
ΔE_f = 317.0 meV/atom
crystal system = monoclinic
uncorrected energy = -5.4532 eV/atom

Cell lengths 8.928, 3.586, 5.748 Å; angles 90.00, 103.97, 90.00 degrees
Space group C2/m (No. 12)
One atom of each set of equivalent atoms:
Cr 0.000 0.000 0.000 x2
Pt 0.000 0.500 0.500 x2
Pb 0.242 0.000 0.739 x4



Record 17
Material: CrPtPb2
Method: DFT, PBE-GGA
State: relaxed

Output
ΔE_f = 284.6 meV/atom
crystal system = tetragonal
uncorrected energy = -5.4856 eV/atom

Cell lengths 4.277, 4.277, 9.396 Å; angles 90.00, 90.00, 90.00 degrees
Space group I-4m2 (No. 119)
One atom of each set of equivalent atoms:
Cr 0.000 0.000 0.000 x2
Pt 0.000 0.500 0.250 x2
Pb 0.000 0.000 0.500 x2
Pb 0.000 0.500 0.750 x2



Record 18
Material: CrPtPb4
Method: DFT, PBE-GGA
State: relaxed

Output
ΔE_f = 760.1 meV/atom
crystal system = cubic
uncorrected energy = -4.3228 eV/atom

Cell lengths 8.812, 8.812, 8.812 Å; angles 90.00, 90.00, 90.00 degrees
Space group F-43m (No. 216)
One atom of each set of equivalent atoms:
Cr 0.000 0.000 0.000 x4
Pt 0.250 0.250 0.250 x4
Pb 0.125 0.125 0.625 x16



Record 19
Material: CrPt2Pb
Method: DFT, PBE-GGA
State: relaxed

Output
ΔE_f = 26.7 meV/atom
crystal system = tetragonal
uncorrected energy = -6.3267 eV/atom

Cell lengths 4.104, 4.104, 8.305 Å; angles 90.00, 90.00, 90.00 degrees
Space group I-4m2 (No. 119)
One atom of each set of equivalent atoms:
Cr 0.000 0.000 0.000 x2
Pt 0.000 0.000 0.500 x2
Pt 0.000 0.500 0.250 x2
Pb 0.000 0.500 0.750 x2



Record 20
Material: CrPt2Pb
Method: DFT, PBE-GGA
State: relaxed

Output
ΔE_f = 26.7 meV/atom
crystal system = tetragonal
uncorrected energy = -6.3266 eV/atom

Cell lengths 4.184, 4.184, 7.990 Å; angles 90.00, 90.00, 90.00 degrees
Space group I4/mmm (No. 139)
One atom of each set of equivalent atoms:
Cr 0.000 0.000 0.000 x2
Pt 0.000 0.500 0.250 x4
Pb 0.000 0.000 0.500 x2



no.,size of the total moment (μB/atom)
1,1.691
2,0.872
3,1.667
4,1.002
5,0.752
6,0.908
7,1.151
8,1.151
9,1.242
10,0.892
11,0.770
12,0.836
13,0.000
14,1.044
15,0.984
16,1.090
17,0.962
18,0.778
19,0.936
20,0.984